BaF3: optimized geometry, PBE-GGA.

Structure (POSCAR):
```
BaF3
1.0
-1.757 1.192 -3.995
-4.380 -0.355 1.820
0.214 6.245 1.769
F Ba
6 2
Cartesian
-1.434 3.148 0.289
-4.488 3.934 -0.695
-4.433 5.371 2.272
-3.304 1.560 -1.924
-2.618 5.522 1.518
-1.489 1.711 -2.677
-2.256 5.288 -1.272
-3.666 1.794 0.867
```

Calculated values
ρ in Mg/m³: 4.6
Total moment in μB per atom: 0.264
Energy in eV for the cell shown: -38.1

Ba2F3: optimized geometry, PBE-GGA.

Structure (POSCAR):
```
Ba2F3
1.0
-1.564 6.105 3.053
-5.333 0.389 4.522
1.330 0.900 6.913
Ba F
4 6
Cartesian
-0.134 1.410 5.143
-5.433 5.983 9.346
-1.320 3.186 9.015
-4.248 4.207 5.474
0.155 3.636 6.735
-2.757 5.442 9.664
-2.810 1.952 4.825
-3.027 1.063 8.625
-5.723 3.757 7.754
-2.540 6.330 5.864
```

Calculated values
ρ in Mg/m³: 4.4
Total moment in μB per atom: 0.163
Energy in eV for the cell shown: -51.6